[1]
The following is a DFT calculation (PBE) of a relaxed Pm4TePdSe2 crystal.

Summary:
The energy relative to the elements, uncorrected is -1431 meV/atom. As for the crystal system: monoclinic. As for the space group: P2/m (10). The density of states at the Fermi level is 0.567 states/eV per atom.

POSCAR file:
```
Pm4TePdSe2
1.0
7.454 0.000 0.000
0.000 4.202 0.000
-2.416 0.000 7.059
Pm Te Pd Se
4 1 1 2
direct
0.236 0.000 0.248
0.237 0.500 0.734
0.763 0.500 0.266
0.764 0.000 0.752
0.500 0.000 0.000
0.000 0.500 0.000
0.000 0.000 0.500
0.500 0.500 0.500
```

[2]
The following is a DFT calculation (PBE) of a relaxed Pm4Te2PdSe crystal.

Summary:
The energy relative to the elements, uncorrected is -1350 meV/atom. As for the crystal system: monoclinic. As for the space group: P2/m (10). The density of states at the Fermi level is 0.634 states/eV per atom.

POSCAR file:
```
Pm4Te2PdSe
1.0
7.562 0.000 0.000
0.000 4.256 0.000
-2.491 0.000 7.216
Pm Te Pd Se
4 2 1 1
direct
0.232 0.000 0.220
0.259 0.500 0.770
0.741 0.500 0.230
0.768 0.000 0.780
0.000 0.000 0.500
0.500 0.500 0.500
0.000 0.500 0.000
0.500 0.000 0.000
```

[3]
The following is a DFT calculation (PBE) of a relaxed Pm8Te4PdSe3 crystal.

Summary:
The energy relative to the elements, uncorrected is -1501 meV/atom. As for the crystal system: trigonal. As for the space group: R-3m (166). The density of states at the Fermi level is 0.478 states/eV per atom.

POSCAR file:
```
Pm8Te4PdSe3
1.0
4.312 2.490 7.196
-4.312 2.490 7.196
0.000 -4.979 7.196
Pm Te Pd Se
8 4 1 3
direct
0.240 0.240 0.240
0.247 0.738 0.738
0.262 0.262 0.753
0.262 0.753 0.262
0.738 0.247 0.738
0.738 0.738 0.247
0.753 0.262 0.262
0.760 0.760 0.760
0.000 0.000 0.000
0.000 0.500 0.500
0.500 0.000 0.500
0.500 0.500 0.000
0.500 0.500 0.500
0.000 0.000 0.500
0.000 0.500 0.000
0.500 0.000 0.000
```

[4]
The following is a DFT calculation (PBE) of a relaxed Pm2UPdSe5 crystal.

Summary:
The energy relative to the elements, uncorrected is -1384 meV/atom. As for the crystal system: orthorhombic. As for the space group: Cmc2_1 (36). The density of states at the Fermi level is 0.776 states/eV per atom.

POSCAR file:
```
Pm2UPdSe5
1.0
2.013 -8.651 0.000
2.013 8.651 0.000
0.000 0.000 12.603
Pm U Pd Se
4 2 2 10
direct
0.099 0.901 0.500
0.122 0.878 0.843
0.878 0.122 0.343
0.901 0.099 0.000
0.177 0.823 0.167
0.823 0.177 0.667
0.443 0.557 0.565
0.557 0.443 0.065
0.016 0.984 0.174
0.302 0.698 0.503
0.306 0.694 0.830
0.343 0.657 0.165
0.498 0.502 0.884
0.502 0.498 0.384
0.657 0.343 0.665
0.694 0.306 0.330
0.698 0.302 0.003
0.984 0.016 0.674
```

Energy for every record listed, in sequence, given in eV/atom: -5.720, -5.596, -5.640, -6.207.